1.
Computed, not measured: a geometry-optimized Dy3SbPN structure at the PBE level of DFT.

CIF file:
```
data_Dy3SbPN
_space_group_name_H-M_alt 'P 1'
_space_group_IT_number 1
_cell_length_a 8.6140
_cell_length_b 4.0640
_cell_length_c 9.1282
_cell_angle_alpha 90.00
_cell_angle_beta 101.67
_cell_angle_gamma 90.00
loop_
_space_group_symop_operation_xyz
'x,y,z'
loop_
_atom_site_label
_atom_site_fract_x
_atom_site_fract_y
_atom_site_fract_z
Dy1 0.0780 0.2500 0.3536
Dy2 0.3426 0.2500 0.9863
Dy3 0.3815 0.7500 0.6627
Dy4 0.6185 0.2500 0.3373
Dy5 0.6574 0.7500 0.0137
Dy6 0.9220 0.7500 0.6464
Sb1 0.3221 0.7500 0.2859
Sb2 0.6779 0.2500 0.7141
P1 0.1491 0.2500 0.6586
P2 0.8509 0.7500 0.3414
N1 0.4066 0.7500 0.9006
N2 0.5934 0.2500 0.0994
```

Results
Calculated total energy in eV/cell: -79.223
Formation energy without anion corrections in eV/atom: -1.325
Total magnetic moment in Bohr magnetons per cell: 0.00

=====

2.
Computed, not measured: a geometry-optimized LaMo2Os structure at the PBE level of DFT.

CIF file:
```
data_LaMo2Os
_space_group_name_H-M_alt 'P 1'
_space_group_IT_number 1
_cell_length_a 2.8836
_cell_length_b 2.8836
_cell_length_c 9.5104
_cell_angle_alpha 90.00
_cell_angle_beta 90.00
_cell_angle_gamma 112.92
loop_
_space_group_symop_operation_xyz
'x,y,z'
loop_
_atom_site_label
_atom_site_fract_x
_atom_site_fract_y
_atom_site_fract_z
La1 0.0000 0.0000 0.0000
Mo1 0.0000 0.0000 0.5080
Mo2 0.5000 0.5000 0.2899
Os1 0.5000 0.5000 0.7283
```

Results
Calculated total energy in eV/cell: -35.941
Polymorph energy (0 for the lowest one) in kJ/mol of formula units: 45
ΔH_f (0 K) in eV per atom: 0.4696
Total magnetic moment in Bohr magnetons per cell: 0.00

=====

3.
Computed, not measured: a geometry-optimized Nd2Zn5Rh4 structure at the PBE level of DFT.

CIF file:
```
data_Nd2Zn5Rh4
_space_group_name_H-M_alt 'P 1'
_space_group_IT_number 1
_cell_length_a 9.2937
_cell_length_b 8.4397
_cell_length_c 5.4374
_cell_angle_alpha 80.96
_cell_angle_beta 63.74
_cell_angle_gamma 35.30
loop_
_space_group_symop_operation_xyz
'x,y,z'
loop_
_atom_site_label
_atom_site_fract_x
_atom_site_fract_y
_atom_site_fract_z
Nd1 0.1459 0.1459 0.8541
Nd2 0.8541 0.8541 0.1459
Zn1 0.0000 0.0000 0.5000
Zn2 0.2500 0.2500 0.2500
Zn3 0.5000 0.5000 0.0000
Zn4 0.5000 0.5000 0.5000
Zn5 0.7500 0.7500 0.7500
Rh1 0.2175 0.5261 0.4739
Rh2 0.4739 0.7825 0.2175
Rh3 0.5261 0.2175 0.7825
Rh4 0.7825 0.4739 0.5261
```

Results
Calculated total energy in eV/cell: -50.312
ΔH_f (0 K) in eV per atom: -0.4546
Total magnetic moment in Bohr magnetons per cell: 0.00

=====

4.
Computed, not measured: a geometry-optimized Ac6PrCd structure at the PBE level of DFT.

CIF file:
```
data_Ac6PrCd
_space_group_name_H-M_alt 'P 1'
_space_group_IT_number 1
_cell_length_a 11.4931
_cell_length_b 11.4931
_cell_length_c 11.4931
_cell_angle_alpha 152.45
_cell_angle_beta 152.45
_cell_angle_gamma 39.36
loop_
_space_group_symop_operation_xyz
'x,y,z'
loop_
_atom_site_label
_atom_site_fract_x
_atom_site_fract_y
_atom_site_fract_z
Ac1 0.1174 0.6174 0.5000
Ac2 0.2502 0.2502 0.0000
Ac3 0.3826 0.8826 0.5000
Ac4 0.6174 0.1174 0.5000
Ac5 0.7498 0.7498 0.0000
Ac6 0.8826 0.3826 0.5000
Pr1 0.0000 0.0000 0.0000
Cd1 0.5000 0.5000 0.0000
```

Results
Calculated total energy in eV/cell: -30.426
Polymorph energy (0 for the lowest one) in kJ/mol of formula units: 0
ΔH_f (0 K) in eV per atom: -0.0101
Total magnetic moment in Bohr magnetons per cell: 0.00